Record 1
# PBE RbTlGaRu2, relaxed
data_RbTlGaRu2
_chemical_formula_sum 'Rb1 Tl1 Ga1 Ru2'
_cell_length_a 5.228
_cell_length_b 5.228
_cell_length_c 5.520
_cell_angle_alpha 90.00
_cell_angle_beta 90.00
_cell_angle_gamma 90.00
_symmetry_space_group_name_H-M 'P 4/m m m'
_symmetry_Int_Tables_number 123
_symmetry_space_group_name_Hall '-P 4 2'
loop_
_atom_site_label
_atom_site_fract_x
_atom_site_fract_y
_atom_site_fract_z
_atom_site_occupancy
Rb1 0.000 0.000 0.000 1
Tl1 0.500 0.500 0.500 1
Ga1 0.500 0.500 0.000 1
Ru1 0.000 0.500 0.500 1
# Total magnetic moment   2.9 Bohr magnetons per cell
# Uncorrected energy   -3.477 eV/atom
# V   30.2 Å³/atom
# E_form   145.3 kJ per mole of atoms

Record 2
# PBE LiTb3Np3Te8, relaxed
data_LiTb3Np3Te8
_chemical_formula_sum 'Li3 Tb9 Np9 Te24'
_cell_length_a 8.7253
_cell_length_b 8.7253
_cell_length_c 21.4569
_cell_angle_alpha 90.00
_cell_angle_beta 90.00
_cell_angle_gamma 120.00
_symmetry_space_group_name_H-M 'R -3 m'
_symmetry_Int_Tables_number 166
_symmetry_space_group_name_Hall '-R 3 2"'
loop_
_atom_site_label
_atom_site_fract_x
_atom_site_fract_y
_atom_site_fract_z
_atom_site_occupancy
Li1 0.0000 0.0000 0.0000 1
Tb1 0.0000 0.5000 0.5000 1
Np1 0.0000 0.5000 0.0000 1
Te1 0.0000 0.0000 0.2494 1
Te2 0.0021 0.5010 0.7502 1
# Total magnetic moment   39.8 Bohr magnetons per cell
# E_form (uncorrected)   -987 meV/atom
# Uncorrected energy   -6.305 eV/atom
# V   31.4 Å³/atom

Record 3
# PBE BaNa2UI8, relaxed
data_BaNa2UI8
_chemical_formula_sum 'Ba1 Na2 U1 I8'
_cell_length_a 7.488
_cell_length_b 9.856
_cell_length_c 7.788
_cell_angle_alpha 90.00
_cell_angle_beta 92.32
_cell_angle_gamma 90.00
_symmetry_space_group_name_H-M 'P 1 2/m 1'
_symmetry_Int_Tables_number 10
loop_
_symmetry_equiv_pos_as_xyz
'x,y,z'
'-x,-y,-z'
'-x,y,-z'
'x,-y,z'
loop_
_atom_site_label
_atom_site_fract_x
_atom_site_fract_y
_atom_site_fract_z
_atom_site_occupancy
Ba1 0.000 0.000 0.000 1
Na1 0.500 0.238 0.500 1
U1 0.000 0.500 0.000 1
I1 0.231 0.284 0.841 1
I2 0.251 0.500 0.313 1
I3 0.268 0.000 0.354 1
# Total magnetic moment   2.0 Bohr magnetons per cell
# E_form (uncorrected)   -1163 meV/atom
# Uncorrected energy   -3.517 eV/atom
# V   47.9 Å³/atom

Record 4
# PBE TaBeCu, relaxed
data_TaBeCu
_chemical_formula_sum 'Ta4 Be4 Cu4'
_cell_length_a 3.449
_cell_length_b 3.482
_cell_length_c 12.674
_cell_angle_alpha 90.00
_cell_angle_beta 90.00
_cell_angle_gamma 90.00
_symmetry_space_group_name_H-M 'I m m m'
_symmetry_Int_Tables_number 71
_symmetry_space_group_name_Hall '-I 2 2'
loop_
_atom_site_label
_atom_site_fract_x
_atom_site_fract_y
_atom_site_fract_z
_atom_site_occupancy
Ta1 0.000 0.000 0.184 1
Be1 0.000 0.000 0.380 1
Cu1 0.000 0.500 0.000 1
Cu2 0.000 0.500 0.500 1
# Total magnetic moment   0.0 Bohr magnetons per cell
# Uncorrected energy   -6.651 eV/atom
# Excess energy over the best structure of this formula in the dataset   0.000 eV per atom
# V   12.7 Å³/atom
# E_form   -9.0 kJ per mole of atoms

Record 5
# PBE DyHo6Cd2, relaxed
data_DyHo6Cd2
_chemical_formula_sum 'Dy2 Ho12 Cd4'
_cell_length_a 12.541
_cell_length_b 3.719
_cell_length_c 11.800
_cell_angle_alpha 90.00
_cell_angle_beta 108.70
_cell_angle_gamma 90.00
_symmetry_space_group_name_H-M 'C 1 2/m 1'
_symmetry_Int_Tables_number 12
loop_
_symmetry_equiv_pos_as_xyz
'x,y,z'
'-x,-y,-z'
'-x,y,-z'
'x,-y,z'
'x+1/2,y+1/2,z'
'-x+1/2,-y+1/2,-z'
'-x+1/2,y+1/2,-z'
'x+1/2,-y+1/2,z'
loop_
_atom_site_label
_atom_site_fract_x
_atom_site_fract_y
_atom_site_fract_z
_atom_site_occupancy
Dy1 0.000 0.000 0.000 1
Ho1 0.015 0.000 0.340 1
Ho2 0.185 0.500 0.877 1
Ho3 0.187 0.500 0.583 1
Cd1 0.147 0.500 0.209 1
# Total magnetic moment   0.0 Bohr magnetons per cell
# Uncorrected energy   -3.894 eV/atom
# V   29.0 Å³/atom
# E_form   -12.3 kJ per mole of atoms

Record 6
# PBE LiBe3H, relaxed
data_LiBe3H
_chemical_formula_sum 'Li1 Be3 H1'
_cell_length_a 3.965
_cell_length_b 3.965
_cell_length_c 3.965
_cell_angle_alpha 90.00
_cell_angle_beta 90.00
_cell_angle_gamma 90.00
_symmetry_space_group_name_H-M 'P m -3 m'
_symmetry_Int_Tables_number 221
_symmetry_space_group_name_Hall '-P 4 2 3'
loop_
_atom_site_label
_atom_site_fract_x
_atom_site_fract_y
_atom_site_fract_z
_atom_site_occupancy
Li1 0.000 0.000 0.000 1
Be1 0.000 0.000 0.500 1
H1 0.500 0.500 0.500 1
# Total magnetic moment   0.0 Bohr magnetons per cell
# Uncorrected energy   -1.661 eV/atom
# Excess energy over the best structure of this formula in the dataset   1.270 eV per atom
# V   12.5 Å³/atom

Record 7
# PBE V3SnH, relaxed
data_V3SnH
_chemical_formula_sum 'V12 Sn4 H4'
_cell_length_a 12.824
_cell_length_b 4.451
_cell_length_c 5.181
_cell_angle_alpha 90.00
_cell_angle_beta 111.64
_cell_angle_gamma 90.00
_symmetry_space_group_name_H-M 'C 1 2/m 1'
_symmetry_Int_Tables_number 12
loop_
_symmetry_equiv_pos_as_xyz
'x,y,z'
'-x,-y,-z'
'-x,y,-z'
'x,-y,z'
'x+1/2,y+1/2,z'
'-x+1/2,-y+1/2,-z'
'-x+1/2,y+1/2,-z'
'x+1/2,-y+1/2,z'
loop_
_atom_site_label
_atom_site_fract_x
_atom_site_fract_y
_atom_site_fract_z
_atom_site_occupancy
V1 0.066 0.000 0.241 1
V2 0.102 0.500 0.053 1
V3 0.223 0.500 0.567 1
Sn1 0.159 0.000 0.812 1
H1 0.041 0.500 0.308 1
# Total magnetic moment   0.0 Bohr magnetons per cell
# Uncorrected energy   -6.902 eV/atom
# V   13.7 Å³/atom

Record 8
# PBE Nd5CdTe2, relaxed
data_Nd5CdTe2
_chemical_formula_sum 'Nd20 Cd4 Te8'
_cell_length_a 6.154
_cell_length_b 12.920
_cell_length_c 13.799
_cell_angle_alpha 90.00
_cell_angle_beta 90.00
_cell_angle_gamma 90.00
_symmetry_space_group_name_H-M 'C m c m'
_symmetry_Int_Tables_number 63
_symmetry_space_group_name_Hall '-C 2c 2'
loop_
_atom_site_label
_atom_site_fract_x
_atom_site_fract_y
_atom_site_fract_z
_atom_site_occupancy
Nd1 0.000 0.058 0.113 1
Nd2 0.000 0.377 0.051 1
Nd3 0.000 0.377 0.750 1
Cd1 0.000 0.266 0.250 1
Te1 0.000 0.184 0.593 1
# Total magnetic moment   0.0 Bohr magnetons per cell
# E_form (uncorrected)   -526 meV/atom
# Uncorrected energy   -4.405 eV/atom
# V   34.3 Å³/atom

Record 9
# PBE Pm5CdCu2, relaxed
data_Pm5CdCu2
_chemical_formula_sum 'Pm20 Cd4 Cu8'
_cell_length_a 8.177
_cell_length_b 8.177
_cell_length_c 13.015
_cell_angle_alpha 90.00
_cell_angle_beta 90.00
_cell_angle_gamma 90.00
_symmetry_space_group_name_H-M 'I 4/m c m'
_symmetry_Int_Tables_number 140
_symmetry_space_group_name_Hall '-I 4 2c'
loop_
_atom_site_label
_atom_site_fract_x
_atom_site_fract_y
_atom_site_fract_z
_atom_site_occupancy
Pm1 0.000 0.000 0.000 1
Pm2 0.155 0.345 0.143 1
Cd1 0.000 0.000 0.250 1
Cu1 0.127 0.373 0.500 1
# Total magnetic moment   0.0 Bohr magnetons per cell
# Uncorrected energy   -4.249 eV/atom
# V   27.2 Å³/atom
# E_form   -13.6 kJ per mole of atoms

Record 10
# PBE TiSiIO2, relaxed
data_TiSiIO2
_chemical_formula_sum 'Ti1 Si1 I1 O2'
_cell_length_a 3.897
_cell_length_b 3.897
_cell_length_c 6.049
_cell_angle_alpha 90.00
_cell_angle_beta 90.00
_cell_angle_gamma 90.00
_symmetry_space_group_name_H-M 'P 4/m m m'
_symmetry_Int_Tables_number 123
_symmetry_space_group_name_Hall '-P 4 2'
loop_
_atom_site_label
_atom_site_fract_x
_atom_site_fract_y
_atom_site_fract_z
_atom_site_occupancy
Ti1 0.000 0.000 0.000 1
Si1 0.500 0.500 0.500 1
I1 0.000 0.000 0.500 1
O1 0.000 0.500 0.000 1
# Total magnetic moment   0.9 Bohr magnetons per cell
# E_form (uncorrected)   -884 meV/atom
# Uncorrected energy   -5.841 eV/atom
# Excess energy over the best structure of this formula in the dataset   0.000 eV per atom
# V   18.4 Å³/atom

Record 11
# PBE Sm6Er3Mg, relaxed
data_Sm6Er3Mg
_chemical_formula_sum 'Sm12 Er6 Mg2'
_cell_length_a 11.199
_cell_length_b 5.046
_cell_length_c 11.276
_cell_angle_alpha 90.00
_cell_angle_beta 90.51
_cell_angle_gamma 90.00
_symmetry_space_group_name_H-M 'P 1 21/m 1'
_symmetry_Int_Tables_number 11
loop_
_symmetry_equiv_pos_as_xyz
'x,y,z'
'-x,-y,-z'
'-x,y+1/2,-z'
'x,-y+1/2,z'
loop_
_atom_site_label
_atom_site_fract_x
_atom_site_fract_y
_atom_site_fract_z
_atom_site_occupancy
Sm1 0.049 0.250 0.398 1
Sm2 0.150 0.250 0.698 1
Sm3 0.151 0.750 0.195 1
Sm4 0.249 0.250 0.000 1
Sm5 0.348 0.750 0.800 1
Sm6 0.449 0.250 0.602 1
Er1 0.249 0.750 0.497 1
Er2 0.350 0.250 0.297 1
Er3 0.450 0.750 0.100 1
Mg1 0.047 0.750 0.905 1
# Total magnetic moment   0.0 Bohr magnetons per cell
# Uncorrected energy   -4.344 eV/atom
# Excess energy over the best structure of this formula in the dataset   0.000 eV per atom
# V   31.9 Å³/atom
# E_form   1.5 kJ per mole of atoms

Record 12
# PBE Ac2La3Rh4, relaxed
data_Ac2La3Rh4
_chemical_formula_sum 'Ac4 La6 Rh8'
_cell_length_a 13.799
_cell_length_b 4.241
_cell_length_c 10.187
_cell_angle_alpha 90.00
_cell_angle_beta 118.58
_cell_angle_gamma 90.00
_symmetry_space_group_name_H-M 'C 1 2/m 1'
_symmetry_Int_Tables_number 12
loop_
_symmetry_equiv_pos_as_xyz
'x,y,z'
'-x,-y,-z'
'-x,y,-z'
'x,-y,z'
'x+1/2,y+1/2,z'
'-x+1/2,-y+1/2,-z'
'-x+1/2,y+1/2,-z'
'x+1/2,-y+1/2,z'
loop_
_atom_site_label
_atom_site_fract_x
_atom_site_fract_y
_atom_site_fract_z
_atom_site_occupancy
Ac1 0.106 0.000 0.395 1
La1 0.000 0.500 0.000 1
La2 0.204 0.500 0.814 1
Rh1 0.096 0.000 0.888 1
Rh2 0.212 0.500 0.298 1
# Total magnetic moment   0.0 Bohr magnetons per cell
# Uncorrected energy   -6.480 eV/atom
# V   29.1 Å³/atom
# E_form   -63.4 kJ per mole of atoms